1.
A plane-wave DFT calculation with PBE was carried out for a relaxed structure of CoSbW4.

Computed properties:
The crystal system is cubic.

Cell and atoms, written as CIF:
```
data_CoSbW4
_chemical_formula_sum 'Co4 Sb4 W16'
_space_group_name_H-M_alt 'F -4 3 m'
_space_group_IT_number 216
_space_group_name_Hall 'F -4 2 3'
_cell_length_a 7.5014
_cell_length_b 7.5014
_cell_length_c 7.5014
_cell_angle_alpha 90.00
_cell_angle_beta 90.00
_cell_angle_gamma 90.00
loop_
_atom_site_label
_atom_site_type_symbol
_atom_site_fract_x
_atom_site_fract_y
_atom_site_fract_z
_atom_site_occupancy
Co1 Co 0.0000 0.0000 0.0000 1
Sb1 Sb 0.2500 0.2500 0.7500 1
W1 W 0.1260 0.1260 0.3740 1
```

2.
A plane-wave DFT calculation with PBE was carried out for a relaxed structure of Li2ZnGeAu4.

Computed properties:
The value obtained for the formation energy is -0.36 eV per atom. The crystal system is trigonal.

Cell and atoms, written as CIF:
```
data_Li2ZnGeAu4
_chemical_formula_sum 'Li6 Zn3 Ge3 Au12'
_space_group_name_H-M_alt 'R -3 m'
_space_group_IT_number 166
_space_group_name_Hall '-R 3 2"'
_cell_length_a 4.4889
_cell_length_b 4.4889
_cell_length_c 22.2243
_cell_angle_alpha 90.00
_cell_angle_beta 90.00
_cell_angle_gamma 120.00
loop_
_atom_site_label
_atom_site_type_symbol
_atom_site_fract_x
_atom_site_fract_y
_atom_site_fract_z
_atom_site_occupancy
Li1 Li 0.0000 0.0000 0.2493 1
Zn1 Zn 0.0000 0.0000 0.0000 1
Ge1 Ge 0.0000 0.0000 0.5000 1
Au1 Au 0.0000 0.0000 0.1214 1
Au2 Au 0.0000 0.0000 0.3725 1
```

3.
A plane-wave DFT calculation with PBE was carried out for a relaxed structure of KY2HgSe4.

Computed properties:
The crystal system is orthorhombic.

Cell and atoms, written as CIF:
```
data_KY2HgSe4
_chemical_formula_sum 'K4 Y8 Hg4 Se16'
_space_group_name_H-M_alt 'C m c m'
_space_group_IT_number 63
_space_group_name_Hall '-C 2c 2'
_cell_length_a 4.2223
_cell_length_b 14.1948
_cell_length_c 15.3906
_cell_angle_alpha 90.00
_cell_angle_beta 90.00
_cell_angle_gamma 90.00
loop_
_atom_site_label
_atom_site_type_symbol
_atom_site_fract_x
_atom_site_fract_y
_atom_site_fract_z
_atom_site_occupancy
K1 K 0.0000 0.1313 0.2500 1
Y1 Y 0.0000 0.3752 0.0635 1
Hg1 Hg 0.0000 0.1648 0.7500 1
Se1 Se 0.0000 0.0000 0.0000 1
Se2 Se 0.0000 0.2625 0.5956 1
Se3 Se 0.0000 0.4578 0.2500 1
```

4.
A plane-wave DFT calculation with PBE was carried out for a relaxed structure of Te3OsO.

Computed properties:
The crystal system is cubic. The calculation puts the excess energy over the best structure of this formula in the dataset at 219 meV per atom.

Cell and atoms, written as CIF:
```
data_Te3OsO
_chemical_formula_sum 'Te3 Os1 O1'
_space_group_name_H-M_alt 'P m -3 m'
_space_group_IT_number 221
_space_group_name_Hall '-P 4 2 3'
_cell_length_a 5.1734
_cell_length_b 5.1734
_cell_length_c 5.1734
_cell_angle_alpha 90.00
_cell_angle_beta 90.00
_cell_angle_gamma 90.00
loop_
_atom_site_label
_atom_site_type_symbol
_atom_site_fract_x
_atom_site_fract_y
_atom_site_fract_z
_atom_site_occupancy
Te1 Te 0.0000 0.0000 0.5000 1
Os1 Os 0.0000 0.0000 0.0000 1
O1 O 0.5000 0.5000 0.5000 1
```

5.
A plane-wave DFT calculation with PBE was carried out for a relaxed structure of ZnIrO2F.

Computed properties:
The crystal system is tetragonal.

Cell and atoms, written as CIF:
```
data_ZnIrO2F
_chemical_formula_sum 'Zn1 Ir1 O2 F1'
_space_group_name_H-M_alt 'P 4/m m m'
_space_group_IT_number 123
_space_group_name_Hall '-P 4 2'
_cell_length_a 3.6725
_cell_length_b 3.6725
_cell_length_c 6.0955
_cell_angle_alpha 90.00
_cell_angle_beta 90.00
_cell_angle_gamma 90.00
loop_
_atom_site_label
_atom_site_type_symbol
_atom_site_fract_x
_atom_site_fract_y
_atom_site_fract_z
_atom_site_occupancy
Zn1 Zn 0.0000 0.0000 0.0000 1
Ir1 Ir 0.5000 0.5000 0.5000 1
O1 O 0.0000 0.5000 0.5000 1
F1 F 0.5000 0.5000 0.0000 1
```

6.
A plane-wave DFT calculation with PBE was carried out for a relaxed structure of Ni2Te4I.

Computed properties:
The crystal system is monoclinic. The calculation puts the excess energy over the best structure of this formula in the dataset at 0 meV per atom.

Cell and atoms, written as CIF:
```
data_Ni2Te4I
_chemical_formula_sum 'Ni4 Te8 I2'
_space_group_name_H-M_alt 'C 1 2/m 1'
_space_group_IT_number 12
_space_group_name_Hall '-C 2y'
_cell_length_a 6.8228
_cell_length_b 3.9262
_cell_length_c 13.3281
_cell_angle_alpha 90.00
_cell_angle_beta 99.70
_cell_angle_gamma 90.00
loop_
_atom_site_label
_atom_site_type_symbol
_atom_site_fract_x
_atom_site_fract_y
_atom_site_fract_z
_atom_site_occupancy
Ni1 Ni 0.0667 0.0000 0.2027 1
Te1 Te 0.1316 0.5000 0.8920 1
Te2 Te 0.2338 0.0000 0.6996 1
I1 I 0.0000 0.5000 0.5000 1
```

7.
A plane-wave DFT calculation with PBE was carried out for a relaxed structure of HgPbO2.

Computed properties:
The crystal system is trigonal. The calculation puts the excess energy over the best structure of this formula in the dataset at 68 meV per atom.

Cell and atoms, written as CIF:
```
data_HgPbO2
_chemical_formula_sum 'Hg3 Pb3 O6'
_space_group_name_H-M_alt 'R -3 m'
_space_group_IT_number 166
_space_group_name_Hall '-R 3 2"'
_cell_length_a 3.4174
_cell_length_b 3.4174
_cell_length_c 25.6773
_cell_angle_alpha 90.00
_cell_angle_beta 90.00
_cell_angle_gamma 120.00
loop_
_atom_site_label
_atom_site_type_symbol
_atom_site_fract_x
_atom_site_fract_y
_atom_site_fract_z
_atom_site_occupancy
Hg1 Hg 0.0000 0.0000 0.0000 1
Pb1 Pb 0.0000 0.0000 0.5000 1
O1 O 0.0000 0.0000 0.1244 1
```

8.
A plane-wave DFT calculation with PBE was carried out for a relaxed structure of HfScAu.

Computed properties:
The value obtained for the formation energy is -0.48 eV per atom. The crystal system is tetragonal. The calculation puts the excess energy over the best structure of this formula in the dataset at 0 meV per atom.

Cell and atoms, written as CIF:
```
data_HfScAu
_chemical_formula_sum 'Hf2 Sc2 Au2'
_space_group_name_H-M_alt 'P 4 m m'
_space_group_IT_number 99
_space_group_name_Hall 'P 4 -2'
_cell_length_a 3.3133
_cell_length_b 3.3133
_cell_length_c 11.3382
_cell_angle_alpha 90.00
_cell_angle_beta 90.00
_cell_angle_gamma 90.00
loop_
_atom_site_label
_atom_site_type_symbol
_atom_site_fract_x
_atom_site_fract_y
_atom_site_fract_z
_atom_site_occupancy
Hf1 Hf 0.0000 0.0000 0.0000 1
Hf2 Hf 0.5000 0.5000 0.1781 1
Sc1 Sc 0.0000 0.0000 0.3717 1
Sc2 Sc 0.0000 0.0000 0.6835 1
Au1 Au 0.5000 0.5000 0.5263 1
Au2 Au 0.5000 0.5000 0.8445 1
```

9.
A plane-wave DFT calculation with PBE was carried out for a relaxed structure of LaHg3N.

Computed properties:
The crystal system is cubic. The calculation puts the excess energy over the best structure of this formula in the dataset at 725 meV per atom.

Cell and atoms, written as CIF:
```
data_LaHg3N
_chemical_formula_sum 'La1 Hg3 N1'
_space_group_name_H-M_alt 'P m -3 m'
_space_group_IT_number 221
_space_group_name_Hall '-P 4 2 3'
_cell_length_a 6.3466
_cell_length_b 6.3466
_cell_length_c 6.3466
_cell_angle_alpha 90.00
_cell_angle_beta 90.00
_cell_angle_gamma 90.00
loop_
_atom_site_label
_atom_site_type_symbol
_atom_site_fract_x
_atom_site_fract_y
_atom_site_fract_z
_atom_site_occupancy
La1 La 0.0000 0.0000 0.0000 1
Hg1 Hg 0.0000 0.0000 0.5000 1
N1 N 0.5000 0.5000 0.5000 1
```

10.
A plane-wave DFT calculation with PBE was carried out for a relaxed structure of PmAl3Fe3.

Computed properties:
The value obtained for the formation energy is 0.48 eV per atom. The crystal system is cubic.

Cell and atoms, written as CIF:
```
data_PmAl3Fe3
_chemical_formula_sum 'Pm2 Al6 Fe6'
_space_group_name_H-M_alt 'P m -3 n'
_space_group_IT_number 223
_space_group_name_Hall '-P 4n 2 3'
_cell_length_a 6.4933
_cell_length_b 6.4933
_cell_length_c 6.4933
_cell_angle_alpha 90.00
_cell_angle_beta 90.00
_cell_angle_gamma 90.00
loop_
_atom_site_label
_atom_site_type_symbol
_atom_site_fract_x
_atom_site_fract_y
_atom_site_fract_z
_atom_site_occupancy
Pm1 Pm 0.0000 0.0000 0.0000 1
Al1 Al 0.0000 0.2500 0.5000 1
Fe1 Fe 0.0000 0.5000 0.2500 1
```

11.
A plane-wave DFT calculation with PBE was carried out for a relaxed structure of PuAlGe.

Computed properties:
The value obtained for the formation energy is -0.40 eV per atom. The crystal system is tetragonal.

Cell and atoms, written as CIF:
```
data_PuAlGe
_chemical_formula_sum 'Pu4 Al4 Ge4'
_space_group_name_H-M_alt 'I 4/m m m'
_space_group_IT_number 139
_space_group_name_Hall '-I 4 2'
_cell_length_a 4.1356
_cell_length_b 4.1356
_cell_length_c 14.5874
_cell_angle_alpha 90.00
_cell_angle_beta 90.00
_cell_angle_gamma 90.00
loop_
_atom_site_label
_atom_site_type_symbol
_atom_site_fract_x
_atom_site_fract_y
_atom_site_fract_z
_atom_site_occupancy
Pu1 Pu 0.0000 0.0000 0.1617 1
Al1 Al 0.0000 0.5000 0.0000 1
Ge1 Ge 0.0000 0.0000 0.3693 1
```

12.
A plane-wave DFT calculation with PBE was carried out for a relaxed structure of Sc6BiSb3.

Computed properties:
The crystal system is orthorhombic.

Cell and atoms, written as CIF:
```
data_Sc6BiSb3
_chemical_formula_sum 'Sc24 Bi4 Sb12'
_space_group_name_H-M_alt 'C m c 21'
_space_group_IT_number 36
_space_group_name_Hall 'C 2c -2'
_cell_length_a 10.4758
_cell_length_b 13.7652
_cell_length_c 7.2605
_cell_angle_alpha 90.00
_cell_angle_beta 90.00
_cell_angle_gamma 90.00
loop_
_atom_site_label
_atom_site_type_symbol
_atom_site_fract_x
_atom_site_fract_y
_atom_site_fract_z
_atom_site_occupancy
Sc1 Sc 0.0000 0.0011 0.0000 1
Sc2 Sc 0.0000 0.2460 0.8601 1
Sc3 Sc 0.1660 0.4434 0.9107 1
Sc4 Sc 0.2113 0.2764 0.5230 1
Bi1 Bi 0.0000 0.1826 0.2473 1
Sb1 Sb 0.0000 0.4138 0.5941 1
Sb2 Sb 0.1869 0.0953 0.7381 1
```

Listing final energy for the structures above in their given order: -9.678, -3.216, -4.825, -3.988, -4.926, -3.860, -4.050, -6.999, -1.550, -5.429, -7.965, -6.076 eV per atom.
Listing DOS(E_F) for the structures above in their given order: 1.185, 0.324, 0.536, 1.749, 0.649, 0.445, 0.300, 1.128, 1.422, 1.149, 3.267, 0.784 states/eV per atom.